Entry 1:
Here is a geometry-optimized CeErS2O structure from Alexandria via LeMat-Bulk. Energies are from GGA-PBE.

Properties
SG: No. 129
Calculated total energy, eV per atom: -7.283
Crystal system: tetragonal

Lattice parameters (Å, degrees): 3.876 3.876 13.666 90.00 90.00 90.00
Fractional positions:
S 0.000 0.500 0.697
S 0.000 0.500 0.093
S 0.500 0.000 0.907
S 0.500 0.000 0.303
Ce 0.000 0.500 0.406
Ce 0.500 0.000 0.594
O 0.000 0.000 0.500
O 0.500 0.500 0.500
Er 0.000 0.500 0.885
Er 0.500 0.000 0.115

=====

Entry 2:
Here is a geometry-optimized CeErSbO2 structure from Alexandria via LeMat-Bulk. Energies are from GGA-PBE.

Properties
SG: No. 107
Calculated total energy, eV per atom: -7.599
Crystal system: tetragonal

Lattice parameters (Å, degrees): 3.915 3.915 6.996 106.25 106.25 90.00
Fractional positions:
Er 0.162 0.162 0.323
Sb 0.502 0.502 0.003
O 0.748 0.248 0.495
O 0.248 0.748 0.495
Ce 0.842 0.842 0.684

=====

Entry 3:
Here is a geometry-optimized CeErSe2O structure from Alexandria via LeMat-Bulk. Energies are from GGA-PBE.

Properties
SG: No. 129
Calculated total energy, eV per atom: -6.892
Crystal system: tetragonal

Lattice parameters (Å, degrees): 3.997 3.997 14.260 90.00 90.00 90.00
Fractional positions:
O 0.000 0.000 0.500
O 0.500 0.500 0.500
Ce 0.000 0.500 0.413
Ce 0.500 0.000 0.587
Er 0.500 0.000 0.117
Er 0.000 0.500 0.883
Se 0.500 0.000 0.306
Se 0.500 0.000 0.907
Se 0.000 0.500 0.093
Se 0.000 0.500 0.694

=====

Entry 4:
Here is a geometry-optimized CeErSeO2 structure from Alexandria via LeMat-Bulk. Energies are from GGA-PBE.

Properties
SG: No. 107
Calculated total energy, eV per atom: -7.770
Crystal system: tetragonal

Lattice parameters (Å, degrees): 3.870 3.870 6.711 106.76 106.76 90.00
Fractional positions:
O 0.255 0.755 0.509
O 0.755 0.255 0.509
Se 0.498 0.498 0.996
Ce 0.150 0.150 0.300
Er 0.843 0.843 0.686

=====

| no. | density of states at the Fermi level (states/eV/f.u.) | raw formation energy (meV per atom) | magnetization (μB per formula unit) |
| --- | --- | --- | --- |
| 1 | 6.23 | -2541 | 0.73 |
| 2 | 4.24 | -2692 | 0.51 |
| 3 | 7.14 | -2408 | 0.73 |
| 4 | 5.64 | -2990 | 1.00 |